P | ## La2MnO2 (PBE with a Hubbard U)

Data for a relaxed La2MnO2 crystal.

The structure in POSCAR format:
```
La2MnO2
1.0
4.183 0.000 0.000
0.000 4.183 0.000
2.091 2.091 6.905
Mn La O
1 2 2
Direct
0.000 0.000 0.000
0.334 0.334 0.333
0.666 0.666 0.667
0.750 0.250 0.500
0.250 0.750 0.500
```

Values from the calculation:
- Density of states at the Fermi level: 3.9 states/eV/f.u.
- Crystal system: tetragonal
- SG: I4/mmm, No. 139
- Calculated density: 5.014 Mg/m³
- Magnetic moment: 5.6 μB per formula unit

***

Q | ## La2MnO2 (PBE with a Hubbard U)

Data for a relaxed La2MnO2 crystal.

The structure in POSCAR format:
```
La2MnO2
1.0
-2.987 6.910 0.501
-6.910 -2.932 -0.759
-0.209 -0.316 3.121
O La Mn
4 4 2
Direct
0.872 0.372 0.500
0.372 0.128 0.500
0.628 0.872 0.500
0.128 0.628 0.500
0.155 0.345 0.000
0.345 0.845 0.000
0.655 0.155 0.000
0.845 0.655 0.000
0.500 0.500 0.000
0.000 0.000 0.000
```

Values from the calculation:
- Density of states at the Fermi level: 2.6 states/eV/f.u.
- Crystal system: tetragonal
- SG: P4/mbm, No. 127
- Calculated density: 6.769 Mg/m³
- Magnetic moment: 3.6 μB per formula unit

***

Which one is most stable, and which one is least stable? P is the most stable of them, while Q is the least stable.

***

P | ## SrLaMnRuO6 (PBE with a Hubbard U)

Data for a relaxed SrLaMnRuO6 crystal.

The structure in POSCAR format:
```
SrLaMnRuO6
1.0
5.665 -0.004 0.000
-0.014 8.055 0.000
0.000 0.000 5.802
O La Mn Sr Ru
12 2 2 2 2
Direct
0.926 0.739 0.471
0.298 0.955 0.274
0.777 0.039 0.203
0.426 0.239 0.029
0.214 0.954 0.809
0.714 0.454 0.691
0.277 0.539 0.297
0.093 0.261 0.521
0.798 0.455 0.226
0.593 0.761 0.979
0.187 0.548 0.786
0.687 0.048 0.714
0.512 0.252 0.449
0.012 0.752 0.051
0.501 0.501 0.994
0.001 0.001 0.506
0.991 0.250 0.957
0.491 0.750 0.543
0.000 0.500 0.500
0.500 0.000 0.000
```

Values from the calculation:
- Density of states at the Fermi level: 2.3 states/eV/f.u.
- Crystal system: monoclinic
- SG: Pc, No. 7
- Calculated density: 6.002 Mg/m³
- Magnetic moment: 8.0 μB per formula unit

***

Q | ## SrLaMnRuO6 (PBE with a Hubbard U)

Data for a relaxed SrLaMnRuO6 crystal.

The structure in POSCAR format:
```
SrLaMnRuO6
1.0
5.654 -0.009 -0.007
2.718 4.958 -0.007
2.718 1.607 4.691
Mn O Ru Sr La
1 6 1 1 1
Direct
0.499 0.499 0.499
0.693 0.828 0.232
0.232 0.693 0.828
0.155 0.767 0.325
0.828 0.232 0.693
0.325 0.155 0.767
0.767 0.325 0.155
0.999 0.999 0.999
0.248 0.248 0.248
0.754 0.754 0.754
```

Values from the calculation:
- Density of states at the Fermi level: 2.5 states/eV/f.u.
- Crystal system: trigonal
- SG: R3, No. 146
- Calculated density: 6.031 Mg/m³
- Magnetic moment: 8.0 μB per formula unit

***

Which one is most stable, and which one is least stable? P is the most stable of them, while Q is the least stable.

***

P | ## SrLaMnO4 (PBE with a Hubbard U)

Data for a relaxed SrLaMnO4 crystal.

The structure in POSCAR format:
```
SrLaMnO4
1.0
-1.207 4.135 -3.416
-3.695 1.913 3.622
3.950 5.665 1.038
La O Sr Mn
2 8 2 2
Direct
0.360 0.000 0.281
0.140 0.500 0.719
0.834 0.000 0.331
0.750 0.750 0.000
0.666 0.500 0.669
0.750 0.250 0.000
0.250 0.250 0.000
0.250 0.750 0.000
0.178 0.000 0.643
0.322 0.500 0.357
0.855 0.500 0.290
0.645 0.000 0.710
0.997 0.000 0.006
0.503 0.500 0.994
```

Values from the calculation:
- Density of states at the Fermi level: 1.0 states/eV/f.u.
- Crystal system: orthorhombic
- SG: Cmcm, No. 63
- Calculated density: 5.892 Mg/m³
- Magnetic moment: 4.0 μB per formula unit

***

Q | ## SrLaMnO4 (PBE with a Hubbard U)

Data for a relaxed SrLaMnO4 crystal.

The structure in POSCAR format:
```
SrLaMnO4
1.0
-1.730 -2.219 2.746
3.504 -1.455 1.032
1.583 2.817 6.087
Mn O La Sr
1 4 1 1
Direct
0.998 0.998 0.004
0.166 0.166 0.668
0.505 0.005 0.989
0.005 0.505 0.989
0.826 0.826 0.348
0.642 0.642 0.717
0.358 0.358 0.284
```

Values from the calculation:
- Density of states at the Fermi level: 0.7 states/eV/f.u.
- Crystal system: tetragonal
- SG: I4mm, No. 107
- Calculated density: 5.884 Mg/m³
- Magnetic moment: 4.0 μB per formula unit

***

Which one is most stable, and which one is least stable? Q is the most stable of them, while P is the least stable.

***

P | ## Sr4LaMn5O13 (PBE with a Hubbard U)

Data for a relaxed Sr4LaMn5O13 crystal.

The structure in POSCAR format:
```
Sr4LaMn5O13
1.0
3.853 0.000 0.000
0.000 8.883 -0.010
0.000 -0.104 8.900
Mn O Sr La
5 13 4 1
Direct
0.000 0.801 0.605
0.000 0.000 0.000
0.000 0.606 0.197
0.000 0.394 0.803
0.000 0.199 0.395
0.000 0.314 0.587
0.000 0.202 0.918
0.500 0.790 0.599
0.500 0.586 0.163
0.000 0.686 0.413
0.500 0.414 0.837
0.000 0.596 0.712
0.000 0.000 0.500
0.000 0.914 0.801
0.000 0.086 0.199
0.000 0.404 0.288
0.500 0.210 0.401
0.000 0.798 0.082
0.500 0.298 0.115
0.500 0.898 0.320
0.500 0.102 0.680
0.500 0.702 0.885
0.500 0.500 0.500
```

Values from the calculation:
- Density of states at the Fermi level: 2.4 states/eV/f.u.
- Crystal system: monoclinic
- SG: P2/m, No. 10
- Calculated density: 5.299 Mg/m³
- Magnetic moment: 20.0 μB per formula unit

***

Q | ## Sr4LaMn5O13 (PBE with a Hubbard U)

Data for a relaxed Sr4LaMn5O13 crystal.

The structure in POSCAR format:
```
Sr4LaMn5O13
1.0
-3.480 0.982 1.428
2.958 -1.440 8.197
2.576 8.394 0.508
O Mn Sr La
13 5 4 1
Direct
0.500 0.432 0.840
0.000 0.295 0.601
0.000 0.224 0.925
0.500 0.159 0.424
0.000 0.399 0.291
0.000 0.925 0.782
0.000 0.609 0.723
0.000 0.070 0.220
0.000 0.712 0.396
0.500 0.830 0.589
0.500 0.580 0.153
0.500 0.992 0.999
0.000 0.768 0.059
0.000 0.195 0.404
0.000 0.593 0.193
0.000 0.406 0.807
0.000 0.805 0.594
0.000 0.003 0.001
0.500 0.496 0.496
0.500 0.281 0.115
0.500 0.887 0.285
0.500 0.118 0.719
0.500 0.721 0.884
```

Values from the calculation:
- Density of states at the Fermi level: 2.5 states/eV/f.u.
- Crystal system: monoclinic
- SG: Pm, No. 6
- Calculated density: 5.345 Mg/m³
- Magnetic moment: 20.0 μB per formula unit

***

Which one is most stable, and which one is least stable? Q is the most stable of them, while P is the least stable.

***

P | ## SrLaTiMnO6 (PBE with a Hubbard U)

Data for a relaxed SrLaTiMnO6 crystal.

The structure in POSCAR format:
```
SrLaTiMnO6
1.0
-1.555 -5.281 -0.566
5.318 -1.578 0.119
-0.346 -0.730 7.772
O Ti Mn Sr La
12 2 2 2 2
Direct
0.004 0.565 0.750
0.496 0.065 0.250
0.770 0.770 0.473
0.730 0.270 0.973
0.508 0.951 0.749
0.280 0.724 0.468
0.220 0.224 0.968
0.729 0.266 0.527
0.992 0.451 0.249
0.222 0.222 0.531
0.278 0.722 0.031
0.771 0.766 0.027
0.003 0.500 0.001
0.497 0.000 0.501
0.001 0.500 0.500
0.499 0.000 0.000
0.018 0.997 0.249
0.482 0.497 0.749
0.527 0.506 0.252
0.973 0.006 0.752
```

Values from the calculation:
- Crystal system: monoclinic
- SG: Pc, No. 7
- Calculated density: 5.887 Mg/m³
- Magnetic moment: 2.0 μB per formula unit

***

Q | ## SrLaTiMnO6 (PBE with a Hubbard U)

Data for a relaxed SrLaTiMnO6 crystal.

The structure in POSCAR format:
```
SrLaTiMnO6
1.0
5.658 -0.007 -0.012
2.810 9.284 -0.018
2.793 0.922 4.730
O Sr La Ti Mn
12 2 2 2 2
Direct
0.977 0.867 0.830
0.881 0.855 0.355
0.083 0.604 0.606
0.427 0.904 0.877
0.513 0.624 0.698
0.410 0.382 0.310
0.655 0.109 0.071
0.344 0.354 0.857
0.177 0.138 0.633
0.852 0.396 0.404
0.066 0.121 0.206
0.634 0.643 0.144
0.390 0.879 0.366
0.870 0.370 0.877
0.620 0.131 0.627
0.103 0.621 0.140
0.013 0.996 0.993
0.485 0.503 0.506
0.248 0.250 0.251
0.752 0.751 0.750
```

Values from the calculation:
- Crystal system: triclinic
- SG: P1, No. 1
- Calculated density: 5.675 Mg/m³
- Magnetic moment: 4.0 μB per formula unit

***

Which one is most stable, and which one is least stable? Q is the most stable of them, while P is the least stable.